[1]
Computed, not measured: a relaxed structure of KPdC3 at the PBE-GGA level of DFT.

a = 4.2965 Å, b = 4.2965 Å, c = 4.2965 Å
α = 90.00°, β = 90.00°, γ = 90.00°
Space group Pm-3m (No. 221)
Symmetry-distinct sites (fractional):
1 K 0.0000 0.0000 0.0000
2 Pd 0.5000 0.5000 0.5000
3 C 0.0000 0.0000 0.5000

Values from the calculation:
volume = 79.3 Å³/cell
ρ = 3.8 g/cm³
formation energy = 4.3493 eV/atom

[2]
Computed, not measured: a relaxed structure of KPd3C at the PBE-GGA level of DFT.

a = 5.0384 Å, b = 5.0384 Å, c = 5.0384 Å
α = 90.00°, β = 90.00°, γ = 90.00°
Space group Pm-3m (No. 221)
Symmetry-distinct sites (fractional):
1 K 0.0000 0.0000 0.0000
2 Pd 0.0000 0.0000 0.5000
3 C 0.5000 0.5000 0.5000

Values from the calculation:
volume = 127.9 Å³/cell
ρ = 4.8 g/cm³
formation energy = 2.7157 eV/atom

[3]
Computed, not measured: a relaxed structure of KRbPd2C at the PBE-GGA level of DFT.

a = 5.2210 Å, b = 5.2210 Å, c = 7.2469 Å
α = 90.00°, β = 90.00°, γ = 90.00°
Space group P4/mmm (No. 123)
Symmetry-distinct sites (fractional):
1 K 0.0000 0.0000 0.0000
2 Rb 0.0000 0.0000 0.5000
3 Pd 0.0000 0.5000 0.0000
4 C 0.5000 0.5000 0.5000

Values from the calculation:
volume = 197.5 Å³/cell
ρ = 2.9 g/cm³
formation energy = 2.0196 eV/atom

[4]
Computed, not measured: a relaxed structure of K2PdCSe at the PBE-GGA level of DFT.

a = 6.2963 Å, b = 6.2963 Å, c = 3.7830 Å
α = 90.00°, β = 90.00°, γ = 90.00°
Space group P4/mmm (No. 123)
Symmetry-distinct sites (fractional):
1 K 0.0000 0.5000 0.0000
2 Pd 0.0000 0.0000 0.0000
3 C 0.0000 0.0000 0.5000
4 Se 0.5000 0.5000 0.5000

Values from the calculation:
volume = 150.0 Å³/cell
ρ = 3.1 g/cm³
E_form (uncorrected) = 329 meV per atom

[5]
Computed, not measured: a relaxed structure of K2TaPdC at the PBE-GGA level of DFT.

a = 6.7754 Å, b = 6.7754 Å, c = 4.9005 Å
α = 90.00°, β = 90.00°, γ = 90.00°
Space group P4/mmm (No. 123)
Symmetry-distinct sites (fractional):
1 K 0.0000 0.5000 0.0000
2 Ta 0.0000 0.0000 0.0000
3 Pd 0.0000 0.0000 0.5000
4 C 0.5000 0.5000 0.5000

Values from the calculation:
volume = 225.0 Å³/cell
ρ = 2.8 g/cm³
formation energy = 2.2538 eV/atom

[6]
Computed, not measured: a relaxed structure of K2ZnPdC at the PBE-GGA level of DFT.

a = 6.2591 Å, b = 6.2591 Å, c = 3.6038 Å
α = 90.00°, β = 90.00°, γ = 90.00°
Space group P4/mmm (No. 123)
Symmetry-distinct sites (fractional):
1 K 0.0000 0.5000 0.0000
2 Zn 0.0000 0.0000 0.0000
3 Pd 0.5000 0.5000 0.5000
4 C 0.0000 0.0000 0.5000

Values from the calculation:
volume = 141.2 Å³/cell
ρ = 3.1 g/cm³
formation energy = 0.7913 eV/atom

[7]
Computed, not measured: a relaxed structure of KPm2C at the PBE-GGA level of DFT.

a = 3.7141 Å, b = 3.7141 Å, c = 32.8066 Å
α = 90.00°, β = 90.00°, γ = 120.00°
Space group R-3m (No. 166, hexagonal axes)
Symmetry-distinct sites (fractional):
1 K 0.0000 0.0000 0.0000
2 Pm 0.0000 0.0000 0.1245
3 C 0.0000 0.0000 0.5000

Values from the calculation:
volume = 391.9 Å³/cell
ρ = 4.3 g/cm³
formation energy = 0.0198 eV/atom

[8]
Computed, not measured: a relaxed structure of KPr2C at the PBE-GGA level of DFT.

a = 3.7667 Å, b = 3.7667 Å, c = 33.3132 Å
α = 90.00°, β = 90.00°, γ = 120.00°
Space group R-3m (No. 166, hexagonal axes)
Symmetry-distinct sites (fractional):
1 K 0.0000 0.0000 0.0000
2 Pr 0.0000 0.0000 0.1243
3 C 0.0000 0.0000 0.5000

Values from the calculation:
volume = 409.3 Å³/cell
ρ = 4.1 g/cm³
formation energy = 0.0535 eV/atom

[9]
Computed, not measured: a relaxed structure of KPtC2 at the PBE-GGA level of DFT.

a = 5.8957 Å, b = 5.8957 Å, c = 5.8957 Å
α = 90.00°, β = 90.00°, γ = 90.00°
Space group Fm-3m (No. 225)
Symmetry-distinct sites (fractional):
1 K 0.0000 0.0000 0.0000
2 Pt 0.0000 0.0000 0.5000
3 C 0.2500 0.2500 0.2500

Values from the calculation:
volume = 204.9 Å³/cell
ρ = 8.4 g/cm³
formation energy = 2.2840 eV/atom

[10]
Computed, not measured: a relaxed structure of KPtC2 at the PBE-GGA level of DFT.

a = 5.9186 Å, b = 5.9186 Å, c = 8.8592 Å
α = 90.00°, β = 90.00°, γ = 90.00°
Space group I-42d (No. 122)
Symmetry-distinct sites (fractional):
1 K 0.0000 0.0000 0.0000
2 Pt 0.0000 0.0000 0.5000
3 C 0.1003 0.2500 0.6250

Values from the calculation:
volume = 310.3 Å³/cell
ρ = 5.5 g/cm³
formation energy = 1.1565 eV/atom

[11]
Computed, not measured: a relaxed structure of KPtC3 at the PBE-GGA level of DFT.

a = 4.2041 Å, b = 4.2041 Å, c = 4.2041 Å
α = 90.00°, β = 90.00°, γ = 90.00°
Space group Pm-3m (No. 221)
Symmetry-distinct sites (fractional):
1 K 0.0000 0.0000 0.0000
2 Pt 0.5000 0.5000 0.5000
3 C 0.0000 0.5000 0.5000

Values from the calculation:
volume = 74.3 Å³/cell
ρ = 6.0 g/cm³
formation energy = 2.2652 eV/atom

[12]
Computed, not measured: a relaxed structure of KPt3C at the PBE-GGA level of DFT.

a = 4.9902 Å, b = 4.9902 Å, c = 4.9902 Å
α = 90.00°, β = 90.00°, γ = 90.00°
Space group Pm-3m (No. 221)
Symmetry-distinct sites (fractional):
1 K 0.0000 0.0000 0.0000
2 Pt 0.0000 0.0000 0.5000
3 C 0.5000 0.5000 0.5000

Values from the calculation:
volume = 124.3 Å³/cell
ρ = 8.5 g/cm³
formation energy = 3.4675 eV/atom

[13]
Computed, not measured: a relaxed structure of K3PtC at the PBE-GGA level of DFT.

a = 6.0873 Å, b = 6.0873 Å, c = 6.0873 Å
α = 90.00°, β = 90.00°, γ = 90.00°
Space group Pm-3m (No. 221)
Symmetry-distinct sites (fractional):
1 K 0.0000 0.0000 0.5000
2 Pt 0.0000 0.0000 0.0000
3 C 0.5000 0.5000 0.5000

Values from the calculation:
volume = 225.6 Å³/cell
ρ = 2.4 g/cm³
formation energy = 1.1134 eV/atom

[14]
Computed, not measured: a relaxed structure of KPt2C2 at the PBE-GGA level of DFT.

a = 7.7885 Å, b = 7.7885 Å, c = 3.1153 Å
α = 90.00°, β = 90.00°, γ = 90.00°
Space group P4/mbm (No. 127)
Symmetry-distinct sites (fractional):
1 K 0.0000 0.0000 0.0000
2 Pt 0.1322 0.3678 0.5000
3 C 0.0629 0.5629 0.0000

Values from the calculation:
volume = 189.0 Å³/cell
ρ = 8.0 g/cm³
formation energy = 1.2456 eV/atom

[15]
Computed, not measured: a relaxed structure of KPt2C at the PBE-GGA level of DFT.

a = 5.4959 Å, b = 5.4959 Å, c = 11.7179 Å
α = 90.00°, β = 90.00°, γ = 90.00°
Space group I4_1/amd (No. 141, origin choice 2)
Symmetry-distinct sites (fractional):
1 K 0.0000 0.2500 0.3750
2 Pt 0.0000 0.0000 0.0000
3 C 0.0000 0.2500 0.8750

Values from the calculation:
volume = 353.9 Å³/cell
ρ = 8.3 g/cm³
formation energy = 0.1829 eV/atom

[16]
Computed, not measured: a relaxed structure of K2PtC at the PBE-GGA level of DFT.

a = 11.8186 Å, b = 11.8186 Å, c = 3.8632 Å
α = 90.00°, β = 90.00°, γ = 90.00°
Space group I-42d (No. 122)
Symmetry-distinct sites (fractional):
1 K 0.0178 0.2500 0.1250
2 Pt 0.0000 0.0000 0.5000
3 C 0.0000 0.0000 0.0000

Values from the calculation:
volume = 539.6 Å³/cell
ρ = 3.5 g/cm³
formation energy = 0.1199 eV/atom

[17]
Computed, not measured: a relaxed structure of KPtC3 at the PBE-GGA level of DFT.

a = 4.2032 Å, b = 4.2032 Å, c = 4.2032 Å
α = 90.00°, β = 90.00°, γ = 90.00°
Space group Pm-3m (No. 221)
Symmetry-distinct sites (fractional):
1 K 0.0000 0.0000 0.0000
2 Pt 0.5000 0.5000 0.5000
3 C 0.0000 0.0000 0.5000

Values from the calculation:
volume = 74.3 Å³/cell
ρ = 6.0 g/cm³
formation energy = 4.4579 eV/atom

[18]
Computed, not measured: a relaxed structure of K2RbC at the PBE-GGA level of DFT.

a = 8.0710 Å, b = 8.0710 Å, c = 8.0710 Å
α = 90.00°, β = 90.00°, γ = 90.00°
Space group Fm-3m (No. 225)
Symmetry-distinct sites (fractional):
1 K 0.2500 0.2500 0.2500
2 Rb 0.0000 0.0000 0.0000
3 C 0.0000 0.0000 0.5000

Values from the calculation:
volume = 525.8 Å³/cell
ρ = 2.2 g/cm³
formation energy = 1.3510 eV/atom

[19]
Computed, not measured: a relaxed structure of KRb2C at the PBE-GGA level of DFT.

a = 9.1423 Å, b = 9.1423 Å, c = 12.9093 Å
α = 90.00°, β = 90.00°, γ = 90.00°
Space group I-42d (No. 122)
Symmetry-distinct sites (fractional):
1 K 0.0000 0.0000 0.0000
2 Rb 0.0062 0.7500 0.6250
3 C 0.0000 0.0000 0.5000

Values from the calculation:
volume = 1079.0 Å³/cell
ρ = 1.4 g/cm³
formation energy = 1.3485 eV/atom

[20]
Computed, not measured: a relaxed structure of KRbC2 at the PBE-GGA level of DFT.

a = 7.6429 Å, b = 7.6429 Å, c = 7.6429 Å
α = 90.00°, β = 90.00°, γ = 90.00°
Space group Fm-3m (No. 225)
Symmetry-distinct sites (fractional):
1 K 0.0000 0.0000 0.0000
2 Rb 0.0000 0.0000 0.5000
3 C 0.2500 0.2500 0.2500

Values from the calculation:
volume = 446.5 Å³/cell
ρ = 2.2 g/cm³
formation energy = 2.4070 eV/atom